[1]
# BiS

A geometry-optimized BiS structure (GGA-PBE, Alexandria).

a = 5.590 Å, b = 5.649 Å, c = 3.581 Å
α = 90.00°, β = 108.54°, γ = 90.00°
Atoms (fractional coordinates):
S  0.265  0.250  0.135
S  0.735  0.750  0.865
Bi  0.253  0.750  0.124
Bi  0.747  0.250  0.876

Computed properties:
Volume, Å³ per cell: 107.2
Raw formation energy, eV per formula unit: -0.23
Crystal system: monoclinic

[2]
# BiS

A geometry-optimized BiS structure (GGA-PBE, Alexandria).

a = 3.775 Å, b = 3.775 Å, c = 8.033 Å
α = 90.00°, β = 90.00°, γ = 120.00°
Atoms (fractional coordinates):
Bi  0.667  0.333  0.250
S  0.000  0.000  0.500
Bi  0.333  0.667  0.750
S  0.000  0.000  0.000

Computed properties:
Volume, Å³ per cell: 99.2
Raw formation energy, eV per formula unit: -0.27
Crystal system: hexagonal

Question: Which of these has the highest volume?
Answer: number 1

Repeat the second record exactly.
# BiS

A geometry-optimized BiS structure (GGA-PBE, Alexandria).

a = 3.775 Å, b = 3.775 Å, c = 8.033 Å
α = 90.00°, β = 90.00°, γ = 120.00°
Atoms (fractional coordinates):
Bi  0.667  0.333  0.250
S  0.000  0.000  0.500
Bi  0.333  0.667  0.750
S  0.000  0.000  0.000

Computed properties:
Volume, Å³ per cell: 99.2
Raw formation energy, eV per formula unit: -0.27
Crystal system: hexagonal

Question: What is the raw formation energy in the first record?
Answer: -0.23 eV per formula unit

Question: Which of these has the highest raw formation energy?
Answer: number 1